1.
VASP calculation (GGA-PBE) on Li2MgAl2CuPt2 after structural relaxation. Values from VASP.

## Properties
space-group type = No. 115

Geometry as Quantum ESPRESSO input:
```
&SYSTEM
  ibrav = 0, nat = 8, ntyp = 5
/
ATOMIC_SPECIES
Al 26.98 Al.upf
Cu 63.55 Cu.upf
Li 6.94 Li.upf
Mg 24.30 Mg.upf
Pt 195.08 Pt.upf
CELL_PARAMETERS angstrom
-0.318 4.228 -0.515
-0.416 -0.545 -4.216
-6.117 -0.381 0.652
ATOMIC_POSITIONS angstrom
Al -1.878 -0.377 -1.930
Al -4.606 1.837 0.216
Cu -3.425 1.651 -2.039
Li -1.763 2.014 -0.087
Li -4.721 -0.554 -1.627
Mg 0.000 0.000 0.000
Pt -0.367 1.842 -2.366
Pt -3.059 -0.191 0.326
```


2.
VASP calculation (GGA-PBE) on Tb2HoTe3 after structural relaxation. Values from VASP.

## Properties
space-group type = No. 164

Geometry as Quantum ESPRESSO input:
```
&SYSTEM
  ibrav = 0, nat = 6, ntyp = 3
/
ATOMIC_SPECIES
Ho 164.93 Ho.upf
Tb 158.93 Tb.upf
Te 127.60 Te.upf
CELL_PARAMETERS angstrom
4.351 0.000 0.000
-2.176 3.768 0.000
0.000 0.000 10.677
ATOMIC_POSITIONS angstrom
Ho 0.000 0.000 5.339
Tb 0.000 2.512 1.785
Tb 2.176 1.256 8.892
Te 0.000 0.000 0.000
Te 2.176 1.256 3.588
Te 0.000 2.512 7.090
```


3.
VASP calculation (GGA-PBE) on Cs3Rb3Zn2O5 after structural relaxation. Values from VASP.

## Properties
space-group type = No. 8
energy above the most stable polymorph in this dataset = 0.33 kJ per mole of atoms

Geometry as Quantum ESPRESSO input:
```
&SYSTEM
  ibrav = 0, nat = 13, ntyp = 4
/
ATOMIC_SPECIES
Cs 132.91 Cs.upf
O 16.00 O.upf
Rb 85.47 Rb.upf
Zn 65.41 Zn.upf
CELL_PARAMETERS angstrom
2.319 5.225 4.119
-6.780 -0.074 -1.918
-1.320 -4.053 5.547
ATOMIC_POSITIONS angstrom
Cs 0.217 1.793 3.970
Cs -4.161 -0.757 1.065
Cs -0.859 -2.537 3.522
O 0.839 4.628 3.599
O -5.818 0.751 -0.818
O -2.134 1.026 2.315
O -2.456 1.563 5.599
O -4.894 0.142 3.981
Rb -0.683 -0.374 6.632
Rb -4.616 -2.665 4.022
Rb -4.428 -0.431 7.052
Zn -0.871 0.359 0.998
Zn -3.123 0.829 3.979
```


4.
VASP calculation (GGA-PBE) on ZnSe2O5 after structural relaxation. Values from VASP.

## Properties
space-group type = No. 60

Geometry as Quantum ESPRESSO input:
```
&SYSTEM
  ibrav = 0, nat = 32, ntyp = 3
/
ATOMIC_SPECIES
O 16.00 O.upf
Se 78.96 Se.upf
Zn 65.41 Zn.upf
CELL_PARAMETERS angstrom
-6.244 1.298 -2.330
2.996 -2.792 -9.585
-1.609 -5.675 1.150
ATOMIC_POSITIONS angstrom
O -0.914 -1.011 -4.908
O 1.750 -2.649 -9.265
O -0.882 -1.214 -2.279
O -0.003 -2.482 -7.303
O 0.895 -2.628 -3.864
O -0.729 -3.375 -9.822
O -4.921 -1.486 -3.462
O -2.804 -3.011 -8.024
O -3.536 -2.951 -5.162
O -3.204 -4.104 -10.390
O -1.654 -3.064 -0.375
O -1.322 -4.218 -5.602
O -2.054 -4.158 -2.741
O 0.063 -5.682 -7.302
O -4.129 -3.793 -0.943
O 0.491 -5.839 -4.570
O -4.855 -4.687 -3.462
O -3.976 -5.954 -8.485
O -6.608 -4.519 -1.499
O -3.943 -6.158 -5.856
Se 0.171 -0.935 -3.579
Se 0.187 -2.023 -8.924
Se -5.156 -2.528 -4.779
Se -2.177 -4.232 -9.019
Se -2.681 -2.937 -1.745
Se 0.298 -4.641 -5.985
Se -5.045 -5.146 -1.841
Se -5.028 -6.234 -7.186
Zn -0.226 -1.582 -0.275
Zn -1.851 -2.329 -6.232
Zn -3.007 -4.839 -4.532
Zn 1.613 -6.884 -8.160
```


5.
VASP calculation (GGA-PBE) on Nd3Co after structural relaxation. Values from VASP.

## Properties
space-group type = No. 225
formation energy from the elements = 388 meV/atom

Geometry as Quantum ESPRESSO input:
```
&SYSTEM
  ibrav = 0, nat = 4, ntyp = 2
/
ATOMIC_SPECIES
Co 58.93 Co.upf
Nd 144.24 Nd.upf
CELL_PARAMETERS angstrom
0.000 3.708 3.708
3.708 0.000 3.708
3.708 3.708 0.000
ATOMIC_POSITIONS angstrom
Co 5.562 5.562 5.562
Nd 0.000 0.000 0.000
Nd 1.854 1.854 1.854
Nd 3.708 3.708 3.708
```


6.
VASP calculation (GGA-PBE) on HoEr2Ga3Ge2Pd after structural relaxation. Values from VASP.

## Properties
space-group type = No. 38

Geometry as Quantum ESPRESSO input:
```
&SYSTEM
  ibrav = 0, nat = 9, ntyp = 5
/
ATOMIC_SPECIES
Er 167.26 Er.upf
Ga 69.72 Ga.upf
Ge 72.64 Ge.upf
Ho 164.93 Ho.upf
Pd 106.42 Pd.upf
CELL_PARAMETERS angstrom
4.213 0.000 0.000
0.000 6.049 3.486
0.000 -6.049 3.486
ATOMIC_POSITIONS angstrom
Er 0.000 3.560 4.918
Er 0.000 -3.560 4.918
Ga 2.106 4.608 2.657
Ga 2.106 0.000 1.660
Ga 2.106 -4.608 2.657
Ge 2.106 2.023 3.484
Ge 2.106 -2.023 3.484
Ho 0.000 0.000 4.101
Pd 0.000 0.000 0.008
```


VASP energy readings, ordered: -33.7; -31.0; -48.3; -161.6; -19.8; -44.2 eV/cell